Record 1
Ir3SN | meta-GGA SCAN | single point on PBEsol structure

Geometry as POSCAR:
```
Ir3SN
1.0
-0.818 3.455 2.470
-3.488 0.890 -2.399
-2.424 -2.446 2.618
Ir N S
3 1 1
Direct
0.000 0.000 0.500
0.500 0.000 0.000
0.000 0.500 0.000
0.500 0.500 0.500
0.000 0.000 0.000
```

=====

Record 2
ErSi2Ni2 | meta-GGA SCAN | single point on PBEsol structure

Geometry as POSCAR:
```
ErSi2Ni2
1.0
3.901 0.000 0.000
0.000 3.901 0.000
-1.951 -1.951 4.699
Si Ni Er
2 2 1
Direct
0.374 0.374 0.747
0.626 0.626 0.253
0.750 0.250 0.500
0.250 0.750 0.500
0.000 0.000 0.000
```

=====

Record 3
Sc2OsRu, single point on PBEsol structure, DFT meta-GGA SCAN; energy of formation = 0.2508 eV/atom
1.0
2.896 0.000 0.000
1.448 2.508 0.000
1.448 0.836 9.351
Ru Os Sc
1 1 2
Direct
0.755 0.755 0.734
0.494 0.494 0.519
0.009 0.009 0.972
0.242 0.242 0.275

=====

Record 4
LaZrFe2, single point on PBEsol structure, DFT meta-GGA SCAN; energy of formation = 0.3600 eV/atom
1.0
4.573 0.000 0.000
2.286 3.960 0.000
2.286 1.320 3.734
Zr La Fe
1 1 2
Direct
0.250 0.250 0.250
0.500 0.500 0.500
0.750 0.750 0.750
0.000 0.000 0.000

=====

Number 1: final energy -44.299 eV per atom, size of the total moment 0.675 μB per atom, theoretical density 12.78 g cm⁻³. Number 2: final energy -21.421 eV per atom, size of the total moment 0.000 μB per atom, theoretical density 7.91 g cm⁻³. Number 3: final energy -33.544 eV per atom, size of the total moment 0.002 μB per atom, theoretical density 9.32 g cm⁻³. Number 4: final energy -27.156 eV per atom, size of the total moment 1.063 μB per atom, theoretical density 8.40 g cm⁻³.